The following is a DFT calculation (GGA-PBEsol) of a relaxed structure of Tl2BiOsBr.

Summary:
Crystal system: tetragonal
Space-group type: P4/mmm, No. 123
Calculated volume, Å³/cell: 137.2
DFT total energy, eV per atom: -4.013
Energy relative to the elements, uncorrected, eV per atom: 0.71

Cell lengths 4.6224, 5.4487, 5.4487 Å; angles 90.00, 90.00, 90.00 degrees
Last column: nearest neighbours and their distance in Å.
Fractional coordinates of all 5 atoms:
Os1 0.0000 0.0000 0.0000  2 Br 2.31
Bi1 0.5000 0.5000 0.5000  8 Tl 3.57, 4 Br 3.85
Br1 0.5000 0.0000 0.0000  2 Os 2.31
Tl1 0.0000 0.5000 0.0000  2 Os 2.72
Tl2 0.0000 0.0000 0.5000  2 Os 2.72